(1)
The following is a DFT calculation (PBE) of a relaxed Ta2ReSnCl crystal.

Calculated values
The calculation puts the electronic total energy at -29.63 eV per cell. Its spin magnetization is 1.079 μB/cell. The calculation puts the density of states at the Fermi level at 5.65 states/eV per cell. Its uncorrected formation energy is 2474 meV/atom.

Lattice parameters (Å, degrees): 5.2026 5.2026 4.8084 90.00 90.00 90.00
Closest atoms and distances in Å follow each position.
Element x y z (fractional)
Ta: 0.0000 0.5000 0.0000  2 Sn 2.60
Ta: 0.5000 0.0000 0.0000  2 Sn 2.60
Re: 0.0000 0.0000 0.5000  8 Ta 3.54, 4 Cl 3.68
Sn: 0.5000 0.5000 0.0000  2 Cl 2.40, 4 Ta 2.60
Cl: 0.5000 0.5000 0.5000  2 Sn 2.40


(2)
The following is a DFT calculation (PBE) of a relaxed Ta2ReSnCl crystal.

Calculated values
The calculation puts the electronic total energy at -36.63 eV per cell. Its spin magnetization is 0.966 μB/cell. The calculation puts the density of states at the Fermi level at 3.87 states/eV per cell. Its uncorrected formation energy is 1074 meV/atom.

Lattice parameters (Å, degrees): 4.9487 4.9487 5.1796 90.00 90.00 90.00
Closest atoms and distances in Å follow each position.
Element x y z (fractional)
Ta: 0.0000 0.5000 0.0000  2 Re 2.47
Ta: 0.5000 0.0000 0.0000  2 Re 2.47
Re: 0.0000 0.0000 0.0000  4 Ta 2.47, 2 Sn 2.59
Sn: 0.0000 0.0000 0.5000  2 Re 2.59
Cl: 0.5000 0.5000 0.5000  4 Sn 3.50, 8 Ta 3.58


(3)
The following is a DFT calculation (PBE) of a relaxed SrReCl2 crystal.

Calculated values
The calculation puts the electronic total energy at -18.34 eV per cell. Its spin magnetization is 0.976 μB/cell. The calculation puts the density of states at the Fermi level at 2.28 states/eV per cell. Its uncorrected formation energy is -130 meV/atom.

Lattice parameters (Å, degrees): 4.8272 3.9909 4.8564 90.00 94.33 90.00
Closest atoms and distances in Å follow each position.
Element x y z (fractional)
Sr: 0.0000 0.0000 0.0000  4 Cl 2.93
Re: 0.5000 0.0000 0.5000  4 Cl 2.44
Cl: 0.3029 0.5000 0.6978  2 Re 2.44
Cl: 0.6971 0.5000 0.3022  2 Re 2.44


(4)
The following is a DFT calculation (PBE) of a relaxed Sr2ReCl crystal.

Calculated values
The calculation puts the electronic total energy at -16.08 eV per cell. Its spin magnetization is 2.313 μB/cell. The calculation puts the density of states at the Fermi level at 4.00 states/eV per cell. Its uncorrected formation energy is 395 meV/atom.

Lattice parameters (Å, degrees): 7.2262 7.2262 7.2262 145.09 145.09 50.21
Closest atoms and distances in Å follow each position.
Element x y z (fractional)
Sr: 0.0000 0.0000 0.0000  4 Re 3.07
Sr: 0.7500 0.2500 0.5000  4 Cl 3.07
Re: 0.5000 0.5000 0.0000  4 Sr 3.07
Cl: 0.2500 0.7500 0.5000  4 Sr 3.07


(5)
The following is a DFT calculation (PBE) of a relaxed SrReCl2 crystal.

Calculated values
The calculation puts the electronic total energy at -17.15 eV per cell. Its spin magnetization is 4.646 μB/cell. The calculation puts the density of states at the Fermi level at 2.96 states/eV per cell. Its uncorrected formation energy is 169 meV/atom.

Lattice parameters (Å, degrees): 4.8927 4.8927 4.1573 90.00 90.00 90.00
Closest atoms and distances in Å follow each position.
Element x y z (fractional)
Sr: 0.0000 0.0000 0.0000  8 Cl 3.21, 4 Re 3.46
Re: 0.5000 0.5000 0.0000  8 Cl 3.21, 4 Sr 3.46
Cl: 0.0000 0.5000 0.5000  4 Re 3.21, 4 Sr 3.21, 4 Cl 3.46
Cl: 0.5000 0.0000 0.5000  4 Re 3.21, 4 Sr 3.21, 4 Cl 3.46


(6)
The following is a DFT calculation (PBE) of a relaxed SrReCl2 crystal.

Calculated values
The calculation puts the electronic total energy at -17.82 eV per cell. Its spin magnetization is 4.162 μB/cell. The calculation puts the density of states at the Fermi level at 1.22 states/eV per cell. Its uncorrected formation energy is 1 meV/atom.

Lattice parameters (Å, degrees): 3.4232 3.4232 10.8229 90.00 90.00 90.00
Closest atoms and distances in Å follow each position.
Element x y z (fractional)
Sr: 0.0000 0.0000 0.0000  8 Cl 2.94
Re: 0.0000 0.0000 0.5000  4 Re 3.42
Cl: 0.5000 0.5000 0.1546  4 Sr 2.94
Cl: 0.5000 0.5000 0.8454  4 Sr 2.94


(7)
The following is a DFT calculation (PBE) of a relaxed SrReCl2 crystal.

Calculated values
The calculation puts the electronic total energy at -18.76 eV per cell. Its spin magnetization is 2.490 μB/cell. The calculation puts the density of states at the Fermi level at 1.11 states/eV per cell. Its uncorrected formation energy is -233 meV/atom.

Lattice parameters (Å, degrees): 6.5211 6.5211 5.4722 93.55 93.55 31.81
Closest atoms and distances in Å follow each position.
Element x y z (fractional)
Sr: 0.0000 0.0000 0.0000  4 Cl 3.00, 4 Re 3.27
Re: 0.5000 0.5000 0.5000  2 Cl 2.34
Cl: 0.3446 0.3446 0.2385  1 Re 2.34
Cl: 0.6554 0.6554 0.7615  1 Re 2.34


(8)
The following is a DFT calculation (PBE) of a relaxed SrReCl2 crystal.

Calculated values
The calculation puts the electronic total energy at -18.39 eV per cell. Its spin magnetization is 0.971 μB/cell. The calculation puts the density of states at the Fermi level at 2.42 states/eV per cell. Its uncorrected formation energy is -141 meV/atom.

Lattice parameters (Å, degrees): 3.4789 4.5583 5.5094 90.00 90.31 90.00
Closest atoms and distances in Å follow each position.
Element x y z (fractional)
Sr: 0.0000 0.0000 0.0000  6 Cl 2.98-3.04
Re: 0.4979 0.5000 0.6617  2 Cl 2.35
Cl: 0.4956 0.0000 0.5610  2 Re 2.35
Cl: 0.5012 0.5000 0.1845  2 Re 2.63-2.88